No. 1
DFT (GGA-PBEsol) results for a geometry-optimized MgGaCuW2 structure.

Geometry as CIF:
```
data_MgGaCuW2
_symmetry_space_group_name_H-M 'P 4/m m m'
_symmetry_Int_Tables_number 123
_symmetry_space_group_name_Hall '-P 4 2'
_cell_length_a 4.590
_cell_length_b 4.590
_cell_length_c 4.554
_cell_angle_alpha 90.00
_cell_angle_beta 90.00
_cell_angle_gamma 90.00
loop_
_atom_site_label
_atom_site_fract_x
_atom_site_fract_y
_atom_site_fract_z
_atom_site_occupancy
Mg1 0.000 0.000 0.000 1
Ga1 0.000 0.000 0.500 1
Cu1 0.500 0.500 0.000 1
W1 0.000 0.500 0.500 1
```

The calculation puts the total energy at -28.0 eV per formula unit. The value obtained for the formation energy is 1801 meV per atom.

---

No. 2
DFT (GGA-PBEsol) results for a geometry-optimized K2BiPCO7 structure.

Geometry as CIF:
```
data_K2BiPCO7
_symmetry_space_group_name_H-M 'P 1 21/m 1'
_symmetry_Int_Tables_number 11
_symmetry_space_group_name_Hall '-P 2yb'
_cell_length_a 5.848
_cell_length_b 7.109
_cell_length_c 9.789
_cell_angle_alpha 90.00
_cell_angle_beta 91.12
_cell_angle_gamma 90.00
loop_
_atom_site_label
_atom_site_fract_x
_atom_site_fract_y
_atom_site_fract_z
_atom_site_occupancy
K1 0.242 0.015 0.283 1
Bi1 0.309 0.250 0.894 1
P1 0.234 0.750 0.919 1
C1 0.244 0.250 0.615 1
O1 0.027 0.250 0.100 1
O2 0.070 0.250 0.698 1
O3 0.221 0.250 0.487 1
O4 0.297 0.750 0.076 1
O5 0.347 0.574 0.853 1
O6 0.446 0.250 0.678 1
```

The calculation puts the total energy at -81.5 eV per formula unit.

---

No. 3
DFT (GGA-PBEsol) results for a geometry-optimized PuPO4 structure.

Geometry as CIF:
```
data_PuPO4
_symmetry_space_group_name_H-M 'P 1 21/c 1'
_symmetry_Int_Tables_number 14
_symmetry_space_group_name_Hall '-P 2ybc'
_cell_length_a 6.360
_cell_length_b 6.939
_cell_length_c 8.055
_cell_angle_alpha 90.00
_cell_angle_beta 126.06
_cell_angle_gamma 90.00
loop_
_atom_site_label
_atom_site_fract_x
_atom_site_fract_y
_atom_site_fract_z
_atom_site_occupancy
Pu1 0.182 0.163 0.283 1
P1 0.308 0.666 0.195 1
O1 0.113 0.663 0.615 1
O2 0.190 0.507 0.252 1
O3 0.336 0.606 0.023 1
O4 0.411 0.217 0.126 1
```

The calculation puts the total energy at -57.6 eV per formula unit.

---

No. 4
DFT (GGA-PBEsol) results for a geometry-optimized RbMnS2N structure.

Geometry as CIF:
```
data_RbMnS2N
_symmetry_space_group_name_H-M 'P 4/m m m'
_symmetry_Int_Tables_number 123
_symmetry_space_group_name_Hall '-P 4 2'
_cell_length_a 5.392
_cell_length_b 5.392
_cell_length_c 4.462
_cell_angle_alpha 90.00
_cell_angle_beta 90.00
_cell_angle_gamma 90.00
loop_
_atom_site_label
_atom_site_fract_x
_atom_site_fract_y
_atom_site_fract_z
_atom_site_occupancy
Rb1 0.000 0.000 0.000 1
Mn1 0.500 0.500 0.500 1
S1 0.000 0.500 0.000 1
N1 0.000 0.000 0.500 1
```

The calculation puts the total energy at -17.9 eV per formula unit.

---

No. 5
DFT (GGA-PBEsol) results for a geometry-optimized CrMo4Br structure.

Geometry as CIF:
```
data_CrMo4Br
_symmetry_space_group_name_H-M 'F -4 3 m'
_symmetry_Int_Tables_number 216
_symmetry_space_group_name_Hall 'F -4 2 3'
_cell_length_a 7.357
_cell_length_b 7.357
_cell_length_c 7.357
_cell_angle_alpha 90.00
_cell_angle_beta 90.00
_cell_angle_gamma 90.00
loop_
_atom_site_label
_atom_site_fract_x
_atom_site_fract_y
_atom_site_fract_z
_atom_site_occupancy
Cr1 0.000 0.000 0.000 1
Mo1 0.125 0.125 0.375 1
Br1 0.250 0.250 0.750 1
```

The calculation puts the total energy at -53.4 eV per formula unit.

---

No. 6
DFT (GGA-PBEsol) results for a geometry-optimized Nb3ZnCd structure.

Geometry as CIF:
```
data_Nb3ZnCd
_symmetry_space_group_name_H-M 'P m -3 m'
_symmetry_Int_Tables_number 221
_symmetry_space_group_name_Hall '-P 4 2 3'
_cell_length_a 4.929
_cell_length_b 4.929
_cell_length_c 4.929
_cell_angle_alpha 90.00
_cell_angle_beta 90.00
_cell_angle_gamma 90.00
loop_
_atom_site_label
_atom_site_fract_x
_atom_site_fract_y
_atom_site_fract_z
_atom_site_occupancy
Nb1 0.000 0.000 0.500 1
Zn1 0.500 0.500 0.500 1
Cd1 0.000 0.000 0.000 1
```

The calculation puts the total energy at -25.0 eV per formula unit. The value obtained for the formation energy is 2039 meV per atom.

---

No. 7
DFT (GGA-PBEsol) results for a geometry-optimized BaPAu structure.

Geometry as CIF:
```
data_BaPAu
_symmetry_space_group_name_H-M 'P 63/m m c'
_symmetry_Int_Tables_number 194
_symmetry_space_group_name_Hall '-P 6c 2c'
_cell_length_a 4.3541
_cell_length_b 4.3541
_cell_length_c 9.1284
_cell_angle_alpha 90.00
_cell_angle_beta 90.00
_cell_angle_gamma 120.00
loop_
_atom_site_label
_atom_site_fract_x
_atom_site_fract_y
_atom_site_fract_z
_atom_site_occupancy
Ba1 0.0000 0.0000 0.0000 1
P1 0.3333 0.6667 0.2500 1
Au1 0.3333 0.6667 0.7500 1
```

The calculation puts the total energy at -14.5 eV per formula unit. The value obtained for the formation energy is -894 meV per atom.

---

No. 8
DFT (GGA-PBEsol) results for a geometry-optimized In3HgI structure.

Geometry as CIF:
```
data_In3HgI
_symmetry_space_group_name_H-M 'P m -3 m'
_symmetry_Int_Tables_number 221
_symmetry_space_group_name_Hall '-P 4 2 3'
_cell_length_a 5.521
_cell_length_b 5.521
_cell_length_c 5.521
_cell_angle_alpha 90.00
_cell_angle_beta 90.00
_cell_angle_gamma 90.00
loop_
_atom_site_label
_atom_site_fract_x
_atom_site_fract_y
_atom_site_fract_z
_atom_site_occupancy
In1 0.000 0.000 0.500 1
Hg1 0.000 0.000 0.000 1
I1 0.500 0.500 0.500 1
```

The calculation puts the total energy at -10.9 eV per formula unit.